Compound: CaPPb
Source: the Alexandria database
Functional: GGA-PBE
Structure: optimized geometry

Volume in A^3/atom: 30.14
D(E_F) in states/eV/cell: 2.63
SG: P3m1 (156)
Uncorrected energy in eV per cell: -12.26

Lattice parameters (Å, degrees): 4.2271 4.2271 5.8436 90.00 90.00 120.00
Fractional coordinates of all 3 atoms:
Ca (0.0000, 0.0000, 0.0864)
Pb (0.6667, 0.3333, 0.5893)
P (0.3333, 0.6667, 0.3243)